# CaBeTe2 (GGA-PBE, optimized geometry)
data_CaBeTe2
_chemical_formula_sum 'Ca3 Be3 Te6'
_space_group_name_H-M_alt 'R -3 m'
_space_group_IT_number 166
_space_group_name_Hall '-R 3 2"'
_cell_length_a 3.8464
_cell_length_b 3.8464
_cell_length_c 27.1648
_cell_angle_alpha 90.00
_cell_angle_beta 90.00
_cell_angle_gamma 120.00
loop_
_atom_site_label
_atom_site_type_symbol
_atom_site_fract_x
_atom_site_fract_y
_atom_site_fract_z
_atom_site_occupancy
Ca1 Ca 0.0000 0.0000 0.0000 1
Be1 Be 0.0000 0.0000 0.5000 1
Te1 Te 0.0000 0.0000 0.1126 1
# V: 348 Å³/cell
# ΔE_f (raw): -0.11 eV per atom
# crystal system: trigonal
# density: 4.36 g cm⁻³
# total magnetization: 0.0 μB per formula unit



# CaBeTe2 (GGA-PBE, optimized geometry)
data_CaBeTe2
_chemical_formula_sum 'Ca2 Be2 Te4'
_space_group_name_H-M_alt 'C 1 2/m 1'
_space_group_IT_number 12
_cell_length_a 6.9748
_cell_length_b 4.3857
_cell_length_c 7.1989
_cell_angle_alpha 90.00
_cell_angle_beta 103.65
_cell_angle_gamma 90.00
loop_
_space_group_symop_operation_xyz
'x,y,z'
'-x,-y,-z'
'-x,y,-z'
'x,-y,z'
'x+1/2,y+1/2,z'
'-x+1/2,-y+1/2,-z'
'-x+1/2,y+1/2,-z'
'x+1/2,-y+1/2,z'
loop_
_atom_site_label
_atom_site_type_symbol
_atom_site_fract_x
_atom_site_fract_y
_atom_site_fract_z
_atom_site_occupancy
Ca1 Ca 0.0000 0.0000 0.0000 1
Be1 Be 0.0000 0.5000 0.5000 1
Te1 Te 0.2319 0.5000 0.2894 1
# V: 214 Å³/cell
# ΔE_f (raw): -0.63 eV per atom
# crystal system: monoclinic
# density: 4.72 g cm⁻³
# total magnetization: 0.0 μB per formula unit



# CaBeTe (GGA-PBE, optimized geometry)
data_CaBeTe
_chemical_formula_sum 'Ca4 Be4 Te4'
_space_group_name_H-M_alt 'P n m a'
_space_group_IT_number 62
_cell_length_a 11.8770
_cell_length_b 3.9594
_cell_length_c 6.3125
_cell_angle_alpha 90.00
_cell_angle_beta 90.00
_cell_angle_gamma 90.00
loop_
_space_group_symop_operation_xyz
'x,y,z'
'-x,-y,-z'
'-x+1/2,-y,z+1/2'
'x+1/2,y,-z+1/2'
'x+1/2,-y+1/2,-z+1/2'
'-x+1/2,y+1/2,z+1/2'
'-x,y+1/2,-z'
'x,-y+1/2,z'
loop_
_atom_site_label
_atom_site_type_symbol
_atom_site_fract_x
_atom_site_fract_y
_atom_site_fract_z
_atom_site_occupancy
Ca1 Ca 0.0717 0.2500 0.1989 1
Be1 Be 0.1695 0.7500 0.9126 1
Te1 Te 0.1700 0.2500 0.6766 1
# V: 297 Å³/cell
# ΔE_f (raw): -0.37 eV per atom
# crystal system: orthorhombic
# energy above the most stable polymorph in this dataset: 0.06 eV/f.u.
# density: 3.95 g cm⁻³
# total magnetization: 0.0 μB per formula unit



# Ca2BeTe (GGA-PBE, optimized geometry)
data_Ca2BeTe
_chemical_formula_sum 'Ca4 Be2 Te2'
_space_group_name_H-M_alt 'I 4/m m m'
_space_group_IT_number 139
_space_group_name_Hall '-I 4 2'
_cell_length_a 4.7863
_cell_length_b 4.7863
_cell_length_c 8.9525
_cell_angle_alpha 90.00
_cell_angle_beta 90.00
_cell_angle_gamma 90.00
loop_
_atom_site_label
_atom_site_type_symbol
_atom_site_fract_x
_atom_site_fract_y
_atom_site_fract_z
_atom_site_occupancy
Ca1 Ca 0.0000 0.5000 0.2500 1
Be1 Be 0.0000 0.0000 0.0000 1
Te1 Te 0.0000 0.0000 0.5000 1
# V: 205 Å³/cell
# ΔE_f (raw): -0.27 eV per atom
# crystal system: tetragonal
# energy above the most stable polymorph in this dataset: 0.64 eV/f.u.
# density: 3.51 g cm⁻³
# total magnetization: 0.0 μB per formula unit



# CaBeTe2 (GGA-PBE, optimized geometry)
data_CaBeTe2
_chemical_formula_sum 'Ca4 Be4 Te8'
_space_group_name_H-M_alt 'F -4 3 m'
_space_group_IT_number 216
_space_group_name_Hall 'F -4 2 3'
_cell_length_a 7.4910
_cell_length_b 7.4910
_cell_length_c 7.4910
_cell_angle_alpha 90.00
_cell_angle_beta 90.00
_cell_angle_gamma 90.00
loop_
_atom_site_label
_atom_site_type_symbol
_atom_site_fract_x
_atom_site_fract_y
_atom_site_fract_z
_atom_site_occupancy
Ca1 Ca 0.0000 0.0000 0.0000 1
Be1 Be 0.2500 0.2500 0.7500 1
Te1 Te 0.0000 0.0000 0.5000 1
Te2 Te 0.2500 0.2500 0.2500 1
# V: 420 Å³/cell
# ΔE_f (raw): 0.14 eV per atom
# crystal system: cubic
# density: 4.81 g cm⁻³
# total magnetization: 0.0 μB per formula unit



# Ca2BeTe (GGA-PBE, optimized geometry)
data_Ca2BeTe
_chemical_formula_sum 'Ca4 Be2 Te2'
_space_group_name_H-M_alt 'A m m 2'
_space_group_IT_number 38
_cell_length_a 4.0521
_cell_length_b 4.5249
_cell_length_c 11.4171
_cell_angle_alpha 90.00
_cell_angle_beta 90.00
_cell_angle_gamma 90.00
loop_
_space_group_symop_operation_xyz
'x,y,z'
'-x,-y,z'
'-x,y,z'
'x,-y,z'
'x,y+1/2,z+1/2'
'-x,-y+1/2,z+1/2'
'-x,y+1/2,z+1/2'
'x,-y+1/2,z+1/2'
loop_
_atom_site_label
_atom_site_type_symbol
_atom_site_fract_x
_atom_site_fract_y
_atom_site_fract_z
_atom_site_occupancy
Ca1 Ca 0.0000 0.0000 0.0000 1
Ca2 Ca 0.5000 0.0000 0.2942 1
Be1 Be 0.0000 0.0000 0.7355 1
Te1 Te 0.5000 0.0000 0.5856 1
# V: 209 Å³/cell
# ΔE_f (raw): -0.43 eV per atom
# crystal system: orthorhombic
# energy above the most stable polymorph in this dataset: 0.00 eV/f.u.
# density: 3.44 g cm⁻³
# total magnetization: 0.0 μB per formula unit